1.
# AlAs2Ru

Crystalline AlAs2Ru at its relaxed geometry (GGA-PBE, Alexandria).

Geometry as POSCAR:
```
AlAs2Ru
1.0
3.031 0.000 0.000
0.000 3.031 0.000
0.000 0.000 7.113
Al As Ru
1 2 1
Cartesian
0.000 0.000 0.000
1.515 1.515 1.988
1.515 1.515 5.125
0.000 0.000 3.556
```

Summary:
Total magnetization in μB per formula unit: 0.00
Formation energy from the elements in eV/f.u.: 0.0
Symmetry: No. 123
DFT total energy in eV per cell: -22.36

2.
# ZnMo

Crystalline ZnMo at its relaxed geometry (GGA-PBE, Alexandria).

Geometry as POSCAR:
```
ZnMo
1.0
-4.072 4.072 4.072
4.072 -4.072 4.072
4.072 4.072 -4.072
Zn Mo
4 4
Cartesian
2.399 2.399 -2.399
2.399 -2.399 2.399
1.672 1.672 1.672
-2.399 2.399 2.399
0.877 0.877 -0.877
0.877 -0.877 0.877
-0.877 0.877 0.877
3.195 3.195 3.195
```

Summary:
Total magnetization in μB per formula unit: 0.00
Energy above the most stable polymorph in this dataset in eV per atom: 1.407
Formation energy from the elements in eV/f.u.: 2.9
Symmetry: No. 217
DFT total energy in eV per cell: -36.67

3.
# Tb4PC2

Crystalline Tb4PC2 at its relaxed geometry (GGA-PBE, Alexandria).

Geometry as POSCAR:
```
Tb4PC2
1.0
1.886 -6.084 0.000
1.886 6.084 0.000
0.000 0.000 12.305
Tb P C
8 2 4
Cartesian
0.000 0.000 0.000
0.000 0.000 6.153
1.886 2.830 7.509
1.886 2.830 10.949
1.886 0.727 3.076
1.886 -0.727 9.229
1.886 -2.830 1.356
1.886 -2.830 4.796
1.886 4.772 3.076
1.886 -4.772 9.229
1.886 1.662 0.749
1.886 1.662 5.404
1.886 -1.662 6.902
1.886 -1.662 11.556
```

Summary:
Total magnetization in μB per formula unit: 0.68
Formation energy from the elements in eV/f.u.: -4.5
Symmetry: No. 63
DFT total energy in eV per cell: -93.67

4.
# SiNiPBr2

Crystalline SiNiPBr2 at its relaxed geometry (GGA-PBE, Alexandria).

Geometry as POSCAR:
```
SiNiPBr2
1.0
5.054 0.000 0.000
0.000 5.054 0.000
0.000 0.000 4.576
Si Ni P Br
1 1 1 2
Cartesian
0.000 0.000 0.000
2.527 2.527 2.288
0.000 0.000 2.288
0.000 2.527 0.000
2.527 0.000 0.000
```

Summary:
Total magnetization in μB per formula unit: 0.01
Formation energy (no corrections) in eV per atom: 0.87
Symmetry: No. 123
DFT total energy in eV per cell: -15.62

5.
# Mg3InAs

Crystalline Mg3InAs at its relaxed geometry (GGA-PBE, Alexandria).

Geometry as POSCAR:
```
Mg3InAs
1.0
5.073 0.000 0.000
0.000 5.073 0.000
0.000 0.000 5.073
Mg In As
3 1 1
Cartesian
0.000 0.000 2.537
0.000 2.537 0.000
2.537 0.000 0.000
2.537 2.537 2.537
0.000 0.000 0.000
```

Summary:
Total magnetization in μB per formula unit: 0.00
Energy above the most stable polymorph in this dataset in eV per atom: 0.000
Formation energy from the elements in eV/f.u.: -0.2
Symmetry: No. 221
DFT total energy in eV per cell: -12.32

6.
# Y4SiBr

Crystalline Y4SiBr at its relaxed geometry (GGA-PBE, Alexandria).

Geometry as POSCAR:
```
Y4SiBr
1.0
0.000 4.431 4.431
4.431 0.000 4.431
4.431 4.431 0.000
Y Si Br
4 1 1
Cartesian
3.338 3.338 3.338
5.523 5.523 3.338
5.523 3.338 5.523
3.338 5.523 5.523
6.646 6.646 6.646
0.000 0.000 0.000
```

Summary:
Total magnetization in μB per formula unit: 0.00
Formation energy (no corrections) in eV per atom: 0.33
Symmetry: No. 216
DFT total energy in eV per cell: -30.96